1.
Compound: BeZnGePt
Source: OQMD
Functional: PBE
Structure: optimized geometry

## Properties
excess energy over the best structure of this formula in the dataset: 0.0000 eV/atom

Unit cell a=6.0761 b=6.0761 c=6.0761 alpha=90.00 beta=90.00 gamma=90.00
With the nearest neighbours (Å) after each atom.
Space group F-43m (No. 216)
Symmetry-distinct sites (fractional):
Be1 0.0000 0.0000 0.0000  4 Pt 2.63, 4 Zn 2.63
Zn1 0.2500 0.2500 0.7500  4 Ge 2.63, 4 Be 2.63
Ge1 0.0000 0.0000 0.5000  4 Pt 2.63, 4 Zn 2.63
Pt1 0.2500 0.2500 0.2500  4 Ge 2.63, 4 Be 2.63

=====

2.
Compound: BeZnGePt
Source: OQMD
Functional: PBE
Structure: optimized geometry

## Properties
excess energy over the best structure of this formula in the dataset: 0.0221 eV/atom

Unit cell a=6.1177 b=6.1177 c=6.1177 alpha=90.00 beta=90.00 gamma=90.00
With the nearest neighbours (Å) after each atom.
Space group F-43m (No. 216)
Symmetry-distinct sites (fractional):
Be1 0.0000 0.0000 0.0000  4 Ge 2.65, 4 Pt 2.65
Zn1 0.0000 0.0000 0.5000  4 Ge 2.65, 4 Pt 2.65
Ge1 0.2500 0.2500 0.7500  4 Be 2.65, 4 Zn 2.65
Pt1 0.2500 0.2500 0.2500  4 Be 2.65, 4 Zn 2.65

=====

3.
Compound: BeRe2Ge
Source: OQMD
Functional: PBE
Structure: optimized geometry

Unit cell a=6.0248 b=6.0248 c=6.0248 alpha=90.00 beta=90.00 gamma=90.00
With the nearest neighbours (Å) after each atom.
Space group F-43m (No. 216)
Symmetry-distinct sites (fractional):
Be1 0.0000 0.0000 0.0000  4 Ge 2.61, 4 Re 2.61
Re1 0.0000 0.0000 0.5000  4 Re 2.61, 4 Ge 2.61
Re2 0.2500 0.2500 0.2500  4 Be 2.61, 4 Re 2.61
Ge1 0.2500 0.2500 0.7500  4 Re 2.61, 4 Be 2.61

=====

4.
Compound: BeTcGeSb
Source: OQMD
Functional: PBE
Structure: optimized geometry

## Properties
excess energy over the best structure of this formula in the dataset: 0.0000 eV/atom

Unit cell a=6.3468 b=6.3468 c=6.3468 alpha=90.00 beta=90.00 gamma=90.00
With the nearest neighbours (Å) after each atom.
Space group F-43m (No. 216)
Symmetry-distinct sites (fractional):
Be1 0.0000 0.0000 0.0000  4 Ge 2.75, 4 Sb 2.75
Tc1 0.0000 0.0000 0.5000  4 Ge 2.75, 4 Sb 2.75
Ge1 0.2500 0.2500 0.2500  4 Tc 2.75, 4 Be 2.75
Sb1 0.2500 0.2500 0.7500  4 Tc 2.75, 4 Be 2.75

=====

5.
Compound: BeTcGeSb
Source: OQMD
Functional: PBE
Structure: optimized geometry

## Properties
excess energy over the best structure of this formula in the dataset: 0.1922 eV/atom

Unit cell a=6.3775 b=6.3775 c=6.3775 alpha=90.00 beta=90.00 gamma=90.00
With the nearest neighbours (Å) after each atom.
Space group F-43m (No. 216)
Symmetry-distinct sites (fractional):
Be1 0.0000 0.0000 0.0000  4 Tc 2.76, 4 Sb 2.76
Tc1 0.2500 0.2500 0.2500  4 Ge 2.76, 4 Be 2.76
Ge1 0.0000 0.0000 0.5000  4 Tc 2.76, 4 Sb 2.76
Sb1 0.2500 0.2500 0.7500  4 Ge 2.76, 4 Be 2.76

=====

6.
Compound: SmScBe2Ge2
Source: OQMD
Functional: PBE
Structure: optimized geometry

Unit cell a=3.8937 b=3.8937 c=7.9058 alpha=90.00 beta=90.00 gamma=120.00
With the nearest neighbours (Å) after each atom.
Space group P-3m1 (No. 164)
Symmetry-distinct sites (fractional):
Sm1 0.0000 0.0000 0.0000  6 Be 3.09, 6 Ge 3.10
Sc1 0.0000 0.0000 0.5000  6 Ge 2.89, 6 Be 2.90
Be1 0.3333 0.6667 0.2683  3 Ge 2.25
Ge1 0.3333 0.6667 0.7306  3 Be 2.25

=====

7.
Compound: TbScBe2Ge2
Source: OQMD
Functional: PBE
Structure: optimized geometry

Unit cell a=3.8776 b=3.8776 c=7.7735 alpha=90.00 beta=90.00 gamma=120.00
With the nearest neighbours (Å) after each atom.
Space group P-3m1 (No. 164)
Symmetry-distinct sites (fractional):
Tb1 0.0000 0.0000 0.0000  6 Be 3.03, 6 Ge 3.04
Sc1 0.0000 0.0000 0.5000  6 Ge 2.89, 6 Be 2.90
Be1 0.3333 0.6667 0.2636  3 Ge 2.24
Ge1 0.3333 0.6667 0.7352  3 Be 2.24

=====

8.
Compound: TmScBe2Ge2
Source: OQMD
Functional: PBE
Structure: optimized geometry

Unit cell a=3.8532 b=3.8532 c=7.6788 alpha=90.00 beta=90.00 gamma=120.00
With the nearest neighbours (Å) after each atom.
Space group P-3m1 (No. 164)
Symmetry-distinct sites (fractional):
Tm1 0.0000 0.0000 0.0000  6 Be 2.99, 6 Ge 2.99
Sc1 0.0000 0.0000 0.5000  6 Ge 2.89, 6 Be 2.89
Be1 0.3333 0.6667 0.2596  3 Ge 2.22
Ge1 0.3333 0.6667 0.7394  3 Be 2.22

=====

9.
Compound: ScBeZnGe
Source: OQMD
Functional: PBE
Structure: optimized geometry

## Properties
excess energy over the best structure of this formula in the dataset: 0.0000 eV/atom

Unit cell a=6.3164 b=6.3164 c=6.3164 alpha=90.00 beta=90.00 gamma=90.00
With the nearest neighbours (Å) after each atom.
Space group F-43m (No. 216)
Symmetry-distinct sites (fractional):
Sc1 0.0000 0.0000 0.0000  4 Zn 2.74, 4 Ge 2.74
Be1 0.0000 0.0000 0.5000  4 Ge 2.74, 4 Zn 2.74
Zn1 0.2500 0.2500 0.7500  4 Be 2.74, 4 Sc 2.74
Ge1 0.2500 0.2500 0.2500  4 Sc 2.74, 4 Be 2.74

=====

10.
Compound: ScBeZnGe
Source: OQMD
Functional: PBE
Structure: optimized geometry

## Properties
excess energy over the best structure of this formula in the dataset: 0.0824 eV/atom

Unit cell a=6.3155 b=6.3155 c=6.3155 alpha=90.00 beta=90.00 gamma=90.00
With the nearest neighbours (Å) after each atom.
Space group F-43m (No. 216)
Symmetry-distinct sites (fractional):
Sc1 0.0000 0.0000 0.0000  4 Zn 2.73, 4 Be 2.73
Be1 0.2500 0.2500 0.2500  4 Sc 2.73, 4 Ge 2.73
Zn1 0.2500 0.2500 0.7500  4 Ge 2.73, 4 Sc 2.73
Ge1 0.0000 0.0000 0.5000  4 Be 2.73, 4 Zn 2.73

=====

11.
Compound: ScBeZnGe
Source: OQMD
Functional: PBE
Structure: optimized geometry

## Properties
excess energy over the best structure of this formula in the dataset: 0.0208 eV/atom

Unit cell a=6.3111 b=6.3111 c=6.3111 alpha=90.00 beta=90.00 gamma=90.00
With the nearest neighbours (Å) after each atom.
Space group F-43m (No. 216)
Symmetry-distinct sites (fractional):
Sc1 0.0000 0.0000 0.0000  4 Ge 2.73, 4 Be 2.73
Be1 0.2500 0.2500 0.2500  4 Sc 2.73, 4 Zn 2.73
Zn1 0.0000 0.0000 0.5000  4 Ge 2.73, 4 Be 2.73
Ge1 0.2500 0.2500 0.7500  4 Sc 2.73, 4 Zn 2.73

=====

12.
Compound: ZrScBe2Ge2
Source: OQMD
Functional: PBE
Structure: optimized geometry

Unit cell a=3.8085 b=3.8085 c=7.3362 alpha=90.00 beta=90.00 gamma=120.00
With the nearest neighbours (Å) after each atom.
Space group P-3m1 (No. 164)
Symmetry-distinct sites (fractional):
Zr1 0.0000 0.0000 0.0000  6 Be 2.86, 6 Ge 2.87
Sc1 0.0000 0.0000 0.5000  6 Ge 2.86, 6 Be 2.87
Be1 0.3333 0.6667 0.2495  3 Ge 2.20
Ge1 0.3333 0.6667 0.7488  3 Be 2.20

=====

| no. | VASP energy (hartree per atom) |
| --- | --- |
| 1 | -0.1444 |
| 2 | -0.1436 |
| 3 | -0.2922 |
| 4 | -0.1921 |
| 5 | -0.1850 |
| 6 | -0.1929 |
| 7 | -0.1927 |
| 8 | -0.1913 |
| 9 | -0.1462 |
| 10 | -0.1432 |
| 11 | -0.1454 |
| 12 | -0.2163 |